This record from Alexandria describes Te2PbSeN after structural relaxation. The functional is PBE.

CIF file:
```
data_Te2PbSeN
_chemical_formula_sum 'Te2 Pb1 Se1 N1'
_cell_length_a 5.923
_cell_length_b 5.923
_cell_length_c 4.217
_cell_angle_alpha 90.00
_cell_angle_beta 90.00
_cell_angle_gamma 90.00
_symmetry_space_group_name_H-M 'P 4/m m m'
_symmetry_Int_Tables_number 123
_symmetry_space_group_name_Hall '-P 4 2'
loop_
_atom_site_label
_atom_site_type_symbol
_atom_site_fract_x
_atom_site_fract_y
_atom_site_fract_z
_atom_site_occupancy
Te1 Te 0.000 0.500 0.000 1
Pb1 Pb 0.000 0.000 0.000 1
Se1 Se 0.500 0.500 0.500 1
N1 N 0.000 0.000 0.500 1
```

Output
Its distance to the lowest polymorph of the same formula is 570.3 meV/atom. Its magnetization is 1.31 μB per formula unit. The formation energy (no corrections) is 28.48 kcal/mol of atoms. The value obtained for the final energy is -0.115 Ha/atom.